DFT (PBE) results for crystalline RbAcSeS at its relaxed geometry.

Geometry as extended XYZ:
```
4
Lattice="-3.021 3.166 1.050 0.240 -3.776 2.435 7.341 2.674 3.418" Properties=species:S:1:pos:R:3 pbc="T T T"
Se 0.463 -3.046 2.697
Ac 5.543 1.177 4.582
S 3.434 2.825 3.189
Rb -0.167 2.588 3.181
```

Results
**Volume**: 35.61 Å³/atom
**DOS at the Fermi energy**: 0.000 states/eV/cell
**Uncorrected formation energy**: -7.22 eV/f.u.
**Total moment**: 0.0 μB per formula unit
**Crystal system**: trigonal